[1]
# LiInTc2 | Alexandria | PBE-GGA | optimized geometry
# crystal system	orthorhombic
# DFT formation energy	0.338	eV per atom
# total energy	-6.01	eV per atom
data_LiInTc2
_chemical_formula_sum 'Li1 In1 Tc2'
_cell_length_a 2.7904
_cell_length_b 4.4052
_cell_length_c 5.1816
_cell_angle_alpha 90.00
_cell_angle_beta 90.00
_cell_angle_gamma 90.00
_space_group_name_H-M_alt 'P m m m'
_space_group_IT_number 47
_space_group_name_Hall '-P 2 2'
loop_
_atom_site_label
_atom_site_type_symbol
_atom_site_fract_x
_atom_site_fract_y
_atom_site_fract_z
Li1 Li 0.0000 0.0000 0.0000
In1 In 0.0000 0.0000 0.5000
Tc1 Tc 0.5000 0.5000 0.2229

***

[2]
# ZrTl4Pb | Alexandria | PBE-GGA | optimized geometry
# crystal system	cubic
# DFT formation energy	0.385	eV per atom
# total energy	-3.24	eV per atom
data_ZrTl4Pb
_chemical_formula_sum 'Zr4 Tl16 Pb4'
_cell_length_a 8.7712
_cell_length_b 8.7712
_cell_length_c 8.7712
_cell_angle_alpha 90.00
_cell_angle_beta 90.00
_cell_angle_gamma 90.00
_space_group_name_H-M_alt 'F -4 3 m'
_space_group_IT_number 216
_space_group_name_Hall 'F -4 2 3'
loop_
_atom_site_label
_atom_site_type_symbol
_atom_site_fract_x
_atom_site_fract_y
_atom_site_fract_z
Zr1 Zr 0.0000 0.0000 0.0000
Tl1 Tl 0.1253 0.1253 0.3747
Pb1 Pb 0.2500 0.2500 0.7500

***

[3]
# SrCa2MgIr | Alexandria | PBE-GGA | optimized geometry
# crystal system	tetragonal
# DFT formation energy	-0.158	eV per atom
# total energy	-3.39	eV per atom
data_SrCa2MgIr
_chemical_formula_sum 'Sr1 Ca2 Mg1 Ir1'
_cell_length_a 5.5476
_cell_length_b 5.5476
_cell_length_c 5.3176
_cell_angle_alpha 90.00
_cell_angle_beta 90.00
_cell_angle_gamma 90.00
_space_group_name_H-M_alt 'P 4/m m m'
_space_group_IT_number 123
_space_group_name_Hall '-P 4 2'
loop_
_atom_site_label
_atom_site_type_symbol
_atom_site_fract_x
_atom_site_fract_y
_atom_site_fract_z
Sr1 Sr 0.0000 0.0000 0.0000
Ca1 Ca 0.0000 0.5000 0.5000
Mg1 Mg 0.5000 0.5000 0.0000
Ir1 Ir 0.5000 0.5000 0.5000

***

[4]
# LiNiPt | Alexandria | PBE-GGA | optimized geometry
# crystal system	cubic
# DFT formation energy	0.073	eV per atom
# total energy	-4.51	eV per atom
data_LiNiPt
_chemical_formula_sum 'Li4 Ni4 Pt4'
_cell_length_a 5.6736
_cell_length_b 5.6736
_cell_length_c 5.6736
_cell_angle_alpha 90.00
_cell_angle_beta 90.00
_cell_angle_gamma 90.00
_space_group_name_H-M_alt 'F -4 3 m'
_space_group_IT_number 216
_space_group_name_Hall 'F -4 2 3'
loop_
_atom_site_label
_atom_site_type_symbol
_atom_site_fract_x
_atom_site_fract_y
_atom_site_fract_z
Li1 Li 0.0000 0.0000 0.0000
Ni1 Ni 0.2500 0.2500 0.2500
Pt1 Pt 0.0000 0.0000 0.5000

***

[5]
# Pm3SbIr | Alexandria | PBE-GGA | optimized geometry
# crystal system	orthorhombic
# total energy	-6.27	eV per atom
# formation energy (no corrections)	-0.8277	eV/atom
data_Pm3SbIr
_chemical_formula_sum 'Pm12 Sb4 Ir4'
_cell_length_a 8.0124
_cell_length_b 4.3684
_cell_length_c 16.6571
_cell_angle_alpha 90.00
_cell_angle_beta 90.00
_cell_angle_gamma 90.00
_space_group_name_H-M_alt 'P n m a'
_space_group_IT_number 62
_space_group_name_Hall '-P 2ac 2n'
loop_
_atom_site_label
_atom_site_type_symbol
_atom_site_fract_x
_atom_site_fract_y
_atom_site_fract_z
Pm1 Pm 0.0137 0.2500 0.0938
Pm2 Pm 0.1380 0.7500 0.4475
Pm3 Pm 0.1658 0.2500 0.7073
Sb1 Sb 0.1316 0.2500 0.2980
Ir1 Ir 0.2361 0.7500 0.0429

***

[6]
# KPt2RhCl | Alexandria | PBE-GGA | optimized geometry
# crystal system	tetragonal
# total energy	-3.89	eV per atom
# formation energy (no corrections)	0.5888	eV/atom
data_KPt2RhCl
_chemical_formula_sum 'K1 Pt2 Rh1 Cl1'
_cell_length_a 4.7396
_cell_length_b 4.7396
_cell_length_c 6.9744
_cell_angle_alpha 90.00
_cell_angle_beta 90.00
_cell_angle_gamma 90.00
_space_group_name_H-M_alt 'P 4/m m m'
_space_group_IT_number 123
_space_group_name_Hall '-P 4 2'
loop_
_atom_site_label
_atom_site_type_symbol
_atom_site_fract_x
_atom_site_fract_y
_atom_site_fract_z
K1 K 0.0000 0.0000 0.0000
Pt1 Pt 0.0000 0.5000 0.5000
Rh1 Rh 0.0000 0.0000 0.5000
Cl1 Cl 0.5000 0.5000 0.0000

***

[7]
# KBa3Ni2H8 | Alexandria | PBE-GGA | optimized geometry
# crystal system	trigonal
# total energy	-3.54	eV per atom
data_KBa3Ni2H8
_chemical_formula_sum 'K1 Ba3 Ni2 H8'
_cell_length_a 5.6098
_cell_length_b 5.6098
_cell_length_c 8.5543
_cell_angle_alpha 90.00
_cell_angle_beta 90.00
_cell_angle_gamma 120.00
_space_group_name_H-M_alt 'P -3 m 1'
_space_group_IT_number 164
_space_group_name_Hall '-P 3 2"'
loop_
_atom_site_label
_atom_site_type_symbol
_atom_site_fract_x
_atom_site_fract_y
_atom_site_fract_z
K1 K 0.0000 0.0000 0.0000
Ba1 Ba 0.0000 0.0000 0.5000
Ba2 Ba 0.3333 0.6667 0.2262
Ni1 Ni 0.3333 0.6667 0.7176
H1 H 0.1732 0.3464 0.7687
H2 H 0.3333 0.6667 0.5327

***

[8]
# CsZnIr2N | Alexandria | PBE-GGA | optimized geometry
# crystal system	tetragonal
# total energy	-2.60	eV per atom
# formation energy (no corrections)	3.0316	eV/atom
data_CsZnIr2N
_chemical_formula_sum 'Cs1 Zn1 Ir2 N1'
_cell_length_a 5.1268
_cell_length_b 5.1268
_cell_length_c 4.2900
_cell_angle_alpha 90.00
_cell_angle_beta 90.00
_cell_angle_gamma 90.00
_space_group_name_H-M_alt 'P 4/m m m'
_space_group_IT_number 123
_space_group_name_Hall '-P 4 2'
loop_
_atom_site_label
_atom_site_type_symbol
_atom_site_fract_x
_atom_site_fract_y
_atom_site_fract_z
Cs1 Cs 0.0000 0.0000 0.0000
Zn1 Zn 0.5000 0.5000 0.5000
Ir1 Ir 0.0000 0.5000 0.0000
N1 N 0.0000 0.0000 0.5000

***

[9]
# Ac2TlZn4Ga3 | Alexandria | PBE-GGA | optimized geometry
# crystal system	tetragonal
# DFT formation energy	-0.403	eV per atom
# total energy	-2.88	eV per atom
data_Ac2TlZn4Ga3
_chemical_formula_sum 'Ac2 Tl1 Zn4 Ga3'
_cell_length_a 4.5029
_cell_length_b 4.5029
_cell_length_c 10.9481
_cell_angle_alpha 90.00
_cell_angle_beta 90.00
_cell_angle_gamma 90.00
_space_group_name_H-M_alt 'P -4 m 2'
_space_group_IT_number 115
_space_group_name_Hall 'P -4 -2'
loop_
_atom_site_label
_atom_site_type_symbol
_atom_site_fract_x
_atom_site_fract_y
_atom_site_fract_z
Ac1 Ac 0.0000 0.5000 0.2360
Tl1 Tl 0.0000 0.0000 0.5000
Zn1 Zn 0.0000 0.0000 0.0000
Zn2 Zn 0.0000 0.5000 0.6469
Zn3 Zn 0.5000 0.5000 0.0000
Ga1 Ga 0.0000 0.5000 0.8758
Ga2 Ga 0.5000 0.5000 0.5000

***

[10]
# Ta2PbAu | Alexandria | PBE-GGA | optimized geometry
# crystal system	trigonal
# DFT formation energy	0.320	eV per atom
# total energy	-7.35	eV per atom
data_Ta2PbAu
_chemical_formula_sum 'Ta6 Pb3 Au3'
_cell_length_a 3.0720
_cell_length_b 3.0720
_cell_length_c 30.3059
_cell_angle_alpha 90.00
_cell_angle_beta 90.00
_cell_angle_gamma 120.00
_space_group_name_H-M_alt 'R 3 m'
_space_group_IT_number 160
_space_group_name_Hall 'R 3 -2"'
loop_
_atom_site_label
_atom_site_type_symbol
_atom_site_fract_x
_atom_site_fract_y
_atom_site_fract_z
Ta1 Ta 0.0000 0.0000 0.0000
Ta2 Ta 0.0000 0.0000 0.2522
Pb1 Pb 0.0000 0.0000 0.4989
Au1 Au 0.0000 0.0000 0.7402

***

[11]
# Ce4Te2PS | Alexandria | PBE-GGA | optimized geometry
# crystal system	monoclinic
# total energy	-6.53	eV per atom
# formation energy (no corrections)	-1.5819	eV/atom
data_Ce4Te2PS
_chemical_formula_sum 'Ce4 Te2 P1 S1'
_cell_length_a 7.2796
_cell_length_b 4.2088
_cell_length_c 7.5919
_cell_angle_alpha 90.00
_cell_angle_beta 108.69
_cell_angle_gamma 90.00
_space_group_name_H-M_alt 'P 1 2/m 1'
_space_group_IT_number 10
_space_group_name_Hall '-P 2y'
loop_
_atom_site_label
_atom_site_type_symbol
_atom_site_fract_x
_atom_site_fract_y
_atom_site_fract_z
Ce1 Ce 0.2370 0.0000 0.2130
Ce2 Ce 0.2619 0.5000 0.7876
Te1 Te 0.0000 0.0000 0.5000
Te2 Te 0.5000 0.5000 0.5000
P1 P 0.0000 0.5000 0.0000
S1 S 0.5000 0.0000 0.0000

***

[12]
# CdBrO4 | Alexandria | PBE-GGA | optimized geometry
# crystal system	monoclinic
# total energy	-3.75	eV per atom
# formation energy (no corrections)	-0.0126	eV/atom
data_CdBrO4
_chemical_formula_sum 'Cd4 Br4 O16'
_cell_length_a 9.9208
_cell_length_b 5.6884
_cell_length_c 6.9808
_cell_angle_alpha 90.00
_cell_angle_beta 91.91
_cell_angle_gamma 90.00
_space_group_name_H-M_alt 'C 1 2/c 1'
_space_group_IT_number 15
_space_group_name_Hall '-C 2yc'
loop_
_atom_site_label
_atom_site_type_symbol
_atom_site_fract_x
_atom_site_fract_y
_atom_site_fract_z
Cd1 Cd 0.2500 0.2500 0.0000
Br1 Br 0.0000 0.0867 0.2500
O1 O 0.0145 0.2650 0.0575
O2 O 0.1849 0.0243 0.2733